#i
Ta3GaTc | PBE-GGA | relaxed

The structure in POSCAR format:
```
Ta3GaTc
1.0
4.666 0.000 0.000
0.000 4.666 0.000
0.000 0.000 4.666
Ta Ga Tc
3 1 1
direct
0.000 0.000 0.500
0.000 0.500 0.000
0.500 0.000 0.000
0.000 0.000 0.000
0.500 0.500 0.500
```

Output
* crystal system: cubic
* space group: Pm-3m (221)

***

#ii
Ta3GaTc | PBE-GGA | relaxed

The structure in POSCAR format:
```
Ta3GaTc
1.0
4.798 0.000 0.000
0.000 4.798 0.000
0.000 0.000 4.798
Ta Ga Tc
3 1 1
direct
0.000 0.000 0.500
0.000 0.500 0.000
0.500 0.000 0.000
0.500 0.500 0.500
0.000 0.000 0.000
```

Output
* crystal system: cubic
* space group: Pm-3m (221)

***

Quick one: least stable of them? #i

***

#i
Ta2GaTe | PBE-GGA | relaxed

The structure in POSCAR format:
```
Ta2GaTe
1.0
-2.049 2.049 9.823
2.049 -2.049 9.823
2.049 2.049 -9.823
Ta Ga Te
4 2 2
direct
0.109 0.625 0.984
0.375 0.359 0.484
0.641 0.125 0.016
0.875 0.891 0.516
0.000 0.000 0.000
0.750 0.250 0.500
0.250 0.750 0.500
0.500 0.500 0.000
```

Output
* crystal system: tetragonal
* space group: I-42d (122)

***

#ii
Ta2GaTe | PBE-GGA | relaxed

The structure in POSCAR format:
```
Ta2GaTe
1.0
0.000 3.327 3.327
3.327 0.000 3.327
3.327 3.327 0.000
Ta Ga Te
2 1 1
direct
0.250 0.250 0.250
0.750 0.750 0.750
0.000 0.000 0.000
0.500 0.500 0.500
```

Output
* crystal system: cubic
* space group: Fm-3m (225)

***

Quick one: least stable of them? #i

***

#i
TaGaTe3 | PBE-GGA | relaxed

The structure in POSCAR format:
```
TaGaTe3
1.0
5.191 0.000 0.000
0.000 5.191 0.000
0.000 0.000 5.191
Ta Ga Te
1 1 3
direct
0.000 0.000 0.000
0.500 0.500 0.500
0.000 0.500 0.500
0.500 0.000 0.500
0.500 0.500 0.000
```

Output
* crystal system: cubic
* space group: Pm-3m (221)

***

#ii
TaGaTe3 | PBE-GGA | relaxed

The structure in POSCAR format:
```
TaGaTe3
1.0
7.019 -2.161 0.000
7.019 2.161 0.000
-0.556 0.000 12.262
Ta Ga Te
2 2 6
direct
0.084 0.084 0.289
0.916 0.916 0.711
0.365 0.365 0.095
0.635 0.635 0.905
0.101 0.101 0.735
0.150 0.150 0.095
0.365 0.365 0.591
0.635 0.635 0.409
0.850 0.850 0.905
0.899 0.899 0.265
```

Output
* crystal system: monoclinic
* space group: C2/m (12)

***

#iii
TaGaTe3 | PBE-GGA | relaxed

The structure in POSCAR format:
```
TaGaTe3
1.0
5.463 0.000 0.000
0.000 5.463 0.000
0.000 0.000 5.463
Ta Ga Te
1 1 3
direct
0.000 0.000 0.000
0.500 0.500 0.500
0.000 0.000 0.500
0.000 0.500 0.000
0.500 0.000 0.000
```

Output
* crystal system: cubic
* space group: Pm-3m (221)

***

Quick one: least stable of them? #i

***

#i
TaTiGa2 | PBE-GGA | relaxed

The structure in POSCAR format:
```
TaTiGa2
1.0
2.847 0.000 0.000
0.000 2.847 0.000
0.000 0.000 7.998
Ta Ti Ga
1 1 2
direct
0.000 0.000 0.000
0.000 0.000 0.500
0.500 0.500 0.255
0.500 0.500 0.745
```

Output
* crystal system: tetragonal
* space group: P4/mmm (123)

***

#ii
TaTiGa2 | PBE-GGA | relaxed

The structure in POSCAR format:
```
TaTiGa2
1.0
3.175 -3.957 0.000
3.175 3.957 0.000
0.000 0.000 5.283
Ta Ti Ga
2 2 4
direct
0.000 0.000 0.000
0.000 0.000 0.500
0.399 0.601 0.750
0.601 0.399 0.250
0.117 0.503 0.250
0.497 0.883 0.250
0.503 0.117 0.750
0.883 0.497 0.750
```

Output
* crystal system: orthorhombic
* space group: Cmcm (63)

***

#iii
TaTiGa2 | PBE-GGA | relaxed

The structure in POSCAR format:
```
TaTiGa2
1.0
1.810 1.045 6.287
-1.810 1.045 6.287
0.000 -2.090 6.287
Ta Ti Ga
1 1 2
direct
0.000 0.000 0.000
0.500 0.500 0.500
0.248 0.248 0.248
0.752 0.752 0.752
```

Output
* crystal system: trigonal
* space group: R-3m (166)

***

Quick one: least stable of them? #iii

***

#i
TaTiGa2 | PBE-GGA | relaxed

The structure in POSCAR format:
```
TaTiGa2
1.0
3.988 0.000 0.000
0.000 3.988 0.000
0.000 0.000 4.050
Ta Ti Ga
1 1 2
direct
0.000 0.000 0.000
0.500 0.500 0.000
0.000 0.500 0.500
0.500 0.000 0.500
```

Output
* crystal system: tetragonal
* space group: P4/mmm (123)

***

#ii
TaTiGa2 | PBE-GGA | relaxed

The structure in POSCAR format:
```
TaTiGa2
1.0
-3.550 3.550 2.770
3.550 -3.550 2.770
3.550 3.550 -2.770
Ta Ti Ga
2 2 4
direct
0.000 0.000 0.000
0.750 0.250 0.500
0.250 0.750 0.500
0.500 0.500 0.000
0.130 0.125 0.505
0.375 0.870 0.995
0.620 0.625 0.495
0.875 0.380 0.005
```

Output
* crystal system: tetragonal
* space group: I-42d (122)

***

Quick one: least stable of them? #ii

***

#i
TaTi5Ga6 | PBE-GGA | relaxed

The structure in POSCAR format:
```
TaTi5Ga6
1.0
4.543 -4.284 0.000
4.543 4.284 0.000
-0.758 0.000 5.134
Ta Ti Ga
1 5 6
direct
0.000 0.000 0.000
0.166 0.834 0.500
0.331 0.669 0.000
0.500 0.500 0.500
0.669 0.331 0.000
0.834 0.166 0.500
0.086 0.417 0.252
0.252 0.252 0.753
0.417 0.086 0.252
0.583 0.914 0.748
0.748 0.748 0.247
0.914 0.583 0.748
```

Output
* crystal system: monoclinic
* space group: C2/m (12)

***

#ii
TaTi5Ga6 | PBE-GGA | relaxed

The structure in POSCAR format:
```
TaTi5Ga6
1.0
3.672 -7.217 0.000
3.672 7.217 0.000
-3.136 0.000 3.642
Ta Ti Ga
1 5 6
direct
0.000 0.000 0.000
0.164 0.836 0.500
0.332 0.668 0.000
0.500 0.500 0.500
0.668 0.332 0.000
0.836 0.164 0.500
0.084 0.420 0.252
0.254 0.254 0.754
0.420 0.084 0.252
0.580 0.916 0.748
0.746 0.746 0.246
0.916 0.580 0.748
```

Output
* crystal system: monoclinic
* space group: C2/m (12)

***

Quick one: least stable of them? #i

***

#i
TaTi3Ga | PBE-GGA | relaxed

The structure in POSCAR format:
```
TaTi3Ga
1.0
4.648 0.000 0.000
0.000 4.648 0.000
0.000 0.000 4.648
Ta Ti Ga
1 3 1
direct
0.000 0.000 0.000
0.000 0.500 0.500
0.500 0.000 0.500
0.500 0.500 0.000
0.500 0.500 0.500
```

Output
* crystal system: cubic
* space group: Pm-3m (221)

***

#ii
TaTi3Ga | PBE-GGA | relaxed

The structure in POSCAR format:
```
TaTi3Ga
1.0
4.802 0.000 0.000
0.000 4.802 0.000
0.000 0.000 4.802
Ta Ti Ga
1 3 1
direct
0.000 0.000 0.000
0.000 0.000 0.500
0.000 0.500 0.000
0.500 0.000 0.000
0.500 0.500 0.500
```

Output
* crystal system: cubic
* space group: Pm-3m (221)

***

Quick one: least stable of them? #ii

***

#i
TaTiGa | PBE-GGA | relaxed

The structure in POSCAR format:
```
TaTiGa
1.0
4.132 0.000 0.000
0.000 3.809 0.000
-2.065 0.000 6.396
Ta Ti Ga
2 2 2
direct
0.084 0.250 0.170
0.916 0.750 0.830
0.412 0.250 0.823
0.588 0.750 0.177
0.249 0.750 0.499
0.751 0.250 0.501
```

Output
* crystal system: monoclinic
* space group: P2_1/m (11)

***

#ii
TaTiGa | PBE-GGA | relaxed

The structure in POSCAR format:
```
TaTiGa
1.0
7.159 0.000 0.000
-3.580 6.200 0.000
0.000 0.000 3.483
Ta Ti Ga
3 3 3
direct
0.000 0.265 0.000
0.265 0.000 0.000
0.735 0.735 0.000
0.000 0.605 0.500
0.395 0.395 0.500
0.605 0.000 0.500
0.000 0.000 0.500
0.333 0.667 0.000
0.667 0.333 0.000
```

Output
* crystal system: hexagonal
* space group: P-62m (189)

***

Quick one: least stable of them? #i

***

#i
TaTiGa | PBE-GGA | relaxed

The structure in POSCAR format:
```
TaTiGa
1.0
-1.414 1.414 6.334
1.414 -1.414 6.334
1.414 1.414 -6.334
Ta Ti Ga
1 1 1
direct
0.000 0.000 0.000
0.673 0.673 0.000
0.334 0.334 0.000
```

Output
* crystal system: tetragonal
* space group: I4mm (107)

***

#ii
TaTiGa | PBE-GGA | relaxed

The structure in POSCAR format:
```
TaTiGa
1.0
4.576 0.000 0.000
-2.288 3.963 0.000
0.000 0.000 5.437
Ta Ti Ga
2 2 2
direct
0.000 0.000 0.000
0.000 0.000 0.500
0.333 0.667 0.250
0.667 0.333 0.750
0.333 0.667 0.750
0.667 0.333 0.250
```

Output
* crystal system: hexagonal
* space group: P6_3/mmc (194)

***

#iii
TaTiGa | PBE-GGA | relaxed

The structure in POSCAR format:
```
TaTiGa
1.0
4.609 0.000 0.000
-2.304 3.991 0.000
0.000 0.000 2.768
Ta Ti Ga
1 1 1
direct
0.000 0.000 0.000
0.333 0.667 0.376
0.667 0.333 0.686
```

Output
* crystal system: trigonal
* space group: P3m1 (156)

***

Quick one: least stable of them? #iii

***

#i
TaTi4Ga2 | PBE-GGA | relaxed

The structure in POSCAR format:
```
TaTi4Ga2
1.0
-2.398 2.398 6.490
2.398 -2.398 6.490
2.398 2.398 -6.490
Ta Ti Ga
1 4 2
direct
0.000 0.000 0.000
0.000 0.500 0.500
0.188 0.188 0.000
0.500 0.000 0.500
0.812 0.812 0.000
0.389 0.389 0.000
0.611 0.611 0.000
```

Output
* crystal system: tetragonal
* space group: I4/mmm (139)

***

#ii
TaTi4Ga2 | PBE-GGA | relaxed

The structure in POSCAR format:
```
TaTi4Ga2
1.0
-2.540 2.540 4.826
2.540 -2.540 4.826
2.540 2.540 -4.826
Ta Ti Ga
1 4 2
direct
0.000 0.000 0.000
0.000 0.500 0.500
0.250 0.750 0.500
0.500 0.000 0.500
0.750 0.250 0.500
0.355 0.355 0.000
0.645 0.645 0.000
```

Output
* crystal system: tetragonal
* space group: I4/mmm (139)

***

Quick one: least stable of them? #i

***

#i
TaTlGa3 | PBE-GGA | relaxed

The structure in POSCAR format:
```
TaTlGa3
1.0
5.149 0.000 0.000
0.000 5.149 0.000
0.000 0.000 5.149
Ta Tl Ga
1 1 3
direct
0.000 0.000 0.000
0.500 0.500 0.500
0.000 0.500 0.500
0.500 0.000 0.500
0.500 0.500 0.000
```

Output
* crystal system: cubic
* space group: Pm-3m (221)

***

#ii
TaTlGa3 | PBE-GGA | relaxed

The structure in POSCAR format:
```
TaTlGa3
1.0
5.133 0.000 0.000
0.000 5.133 0.000
0.000 0.000 5.133
Ta Tl Ga
1 1 3
direct
0.000 0.000 0.000
0.500 0.500 0.500
0.000 0.000 0.500
0.000 0.500 0.000
0.500 0.000 0.000
```

Output
* crystal system: cubic
* space group: Pm-3m (221)

***

Quick one: least stable of them? #i